The following is a DFT calculation (PBE) of crystalline La2ErSnC at its relaxed geometry.

Formation enthalpy at 0 K, meV/atom: -509
Theoretical density, g/cm³: 7.2
Electronic total energy, eV for the cell shown: -30.19
N(E_F), states/eV/atom: 0.470

Unit cell a=5.2146 b=5.2146 c=4.8956 alpha=90.00 beta=90.00 gamma=90.00
With the nearest neighbours (Å) after each atom.
Fractional positions:
La: 0.0000 0.5000 0.0000  2 C 2.61
La: 0.5000 0.0000 0.0000  2 C 2.61
Er: 0.0000 0.0000 0.5000  2 C 2.45
Sn: 0.5000 0.5000 0.5000  8 La 3.58, 4 Er 3.69
C: 0.0000 0.0000 0.0000  2 Er 2.45, 4 La 2.61


The following is a DFT calculation (PBE) of crystalline La2ErTc2C4 at its relaxed geometry.

Formation enthalpy at 0 K, meV/atom: -80
Theoretical density, g/cm³: 7.9
Electronic total energy, eV for the cell shown: -72.76
N(E_F), states/eV/atom: 0.651

Unit cell a=7.1740 b=7.1740 c=6.1695 alpha=106.95 beta=106.95 gamma=28.47
With the nearest neighbours (Å) after each atom.
Fractional positions:
La: 0.1308 0.1308 0.0275  5 C 2.71-2.88
La: 0.8692 0.8692 0.9725  5 C 2.71-2.88
Er: 0.0000 0.0000 0.5000  4 C 2.48
Tc: 0.3210 0.3210 0.4953  4 C 1.93-2.12
Tc: 0.6790 0.6790 0.5047  4 C 1.93-2.12
C: 0.2194 0.2194 0.6919  3 Tc 2.09-2.12
C: 0.4500 0.4500 0.7279  1 Tc 1.93
C: 0.5500 0.5500 0.2721  1 Tc 1.93
C: 0.7806 0.7806 0.3081  3 Tc 2.09-2.12


The following is a DFT calculation (PBE) of crystalline LiEr2C at its relaxed geometry.

Formation enthalpy at 0 K, meV/atom: 249
Theoretical density, g/cm³: 7.4
Electronic total energy, eV for the cell shown: -19.27
Energy above the most stable polymorph in this dataset, meV per atom: 369
N(E_F), states/eV/atom: 0.700

Unit cell a=3.1684 b=3.1684 c=7.8754 alpha=90.00 beta=90.00 gamma=90.00
With the nearest neighbours (Å) after each atom.
Fractional positions:
Li: 0.0000 0.0000 0.0000  4 Li 3.17, 8 Er 3.41
Er: 0.5000 0.5000 0.3267  4 C 2.62, 1 Er 2.73
Er: 0.5000 0.5000 0.6733  4 C 2.62, 1 Er 2.73
C: 0.0000 0.0000 0.5000  8 Er 2.62


The following is a DFT calculation (PBE) of crystalline LiEr8C4 at its relaxed geometry.

Formation enthalpy at 0 K, meV/atom: -227
Theoretical density, g/cm³: 8.2
Electronic total energy, eV for the cell shown: -78.27
N(E_F), states/eV/atom: 0.708

Unit cell a=9.0651 b=9.0651 c=12.5268 alpha=133.56 beta=133.56 gamma=22.74
With the nearest neighbours (Å) after each atom.
Fractional positions:
Li: 0.0000 0.0000 0.0000  8 Er 3.54, 2 Li 3.57
Er: 0.0434 0.0434 0.7070  3 C 2.45-2.51
Er: 0.3087 0.3087 0.9587  3 C 2.44-2.46
Er: 0.3424 0.3424 0.3855  3 C 2.46-2.50
Er: 0.3473 0.3473 0.6591  3 C 2.44-2.45
Er: 0.6527 0.6527 0.3409  3 C 2.44-2.45
Er: 0.6576 0.6576 0.6145  3 C 2.46-2.50
Er: 0.6913 0.6913 0.0413  3 C 2.44-2.46
Er: 0.9566 0.9566 0.2930  3 C 2.45-2.51
C: 0.1545 0.1545 0.4769  6 Er 2.44-2.51
C: 0.3243 0.3243 0.1684  6 Er 2.44-2.50
C: 0.6757 0.6757 0.8316  6 Er 2.44-2.50
C: 0.8455 0.8455 0.5231  6 Er 2.44-2.51


The following is a DFT calculation (PBE) of crystalline LiEr2C at its relaxed geometry.

Formation enthalpy at 0 K, meV/atom: -120
Theoretical density, g/cm³: 6.0
Electronic total energy, eV for the cell shown: -20.74
Energy above the most stable polymorph in this dataset, meV per atom: 0
N(E_F), states/eV/atom: 0.781

Unit cell a=9.4805 b=9.4805 c=9.4805 alpha=21.17 beta=21.17 gamma=21.17
With the nearest neighbours (Å) after each atom.
Fractional positions:
Li: 0.0000 0.0000 0.0000  2 Er 3.30, 6 Li 3.48
Er: 0.1187 0.1187 0.1187  3 C 2.41
Er: 0.8813 0.8813 0.8813  3 C 2.41
C: 0.5000 0.5000 0.5000  6 Er 2.41


The following is a DFT calculation (PBE) of crystalline LiErMnC at its relaxed geometry.

Formation enthalpy at 0 K, meV/atom: -61
Theoretical density, g/cm³: 6.6
Electronic total energy, eV for the cell shown: -50.22
N(E_F), states/eV/atom: 0.736

Unit cell a=3.3523 b=3.3523 c=10.7416 alpha=90.00 beta=90.00 gamma=90.00
With the nearest neighbours (Å) after each atom.
Fractional positions:
Li: 0.2500 0.7500 0.0000  4 Li 2.37
Li: 0.7500 0.2500 0.0000  4 Li 2.37
Er: 0.2500 0.2500 0.2755  4 C 2.66, 4 Mn 2.94
Er: 0.7500 0.7500 0.7245  4 C 2.66, 4 Mn 2.94
Mn: 0.2500 0.7500 0.5000  4 C 2.06
Mn: 0.7500 0.2500 0.5000  4 C 2.06
C: 0.2500 0.2500 0.6115  4 Mn 2.06
C: 0.7500 0.7500 0.3885  4 Mn 2.06


The following is a DFT calculation (PBE) of crystalline LiErC2O6 at its relaxed geometry.

Theoretical density, g/cm³: 4.2
Electronic total energy, eV for the cell shown: -151.63
E_form (uncorrected), eV/atom: -2.114
N(E_F), states/eV/atom: 0.000

Unit cell a=6.0775 b=6.0775 c=6.9583 alpha=97.15 beta=97.15 gamma=110.48
With the nearest neighbours (Å) after each atom.
Fractional positions:
Li: 0.0844 0.9156 0.7500  4 O 2.11-2.25
Li: 0.9156 0.0844 0.2500  4 O 2.11-2.25
Er: 0.4245 0.5755 0.2500  6 O 2.23-2.34
Er: 0.5755 0.4245 0.7500  6 O 2.23-2.34
C: 0.1217 0.4255 0.7726  3 O 1.28-1.32
C: 0.4255 0.1217 0.2726  3 O 1.28-1.32
C: 0.5745 0.8783 0.7274  3 O 1.28-1.32
C: 0.8783 0.5745 0.2274  3 O 1.28-1.32
O: 0.0360 0.4799 0.2527  1 C 1.28
O: 0.1236 0.2430 0.6580  1 C 1.29
O: 0.2430 0.1236 0.1580  1 C 1.29
O: 0.3052 0.5284 0.9185  1 C 1.32
O: 0.4716 0.6948 0.5815  1 C 1.32
O: 0.4799 0.0360 0.7527  1 C 1.28
O: 0.5201 0.9640 0.2473  1 C 1.28
O: 0.5284 0.3052 0.4185  1 C 1.32
O: 0.6948 0.4716 0.0815  1 C 1.32
O: 0.7570 0.8764 0.8420  1 C 1.29
O: 0.8764 0.7570 0.3420  1 C 1.29
O: 0.9640 0.5201 0.7473  1 C 1.28


The following is a DFT calculation (PBE) of crystalline LiErCO4 at its relaxed geometry.

Theoretical density, g/cm³: 5.9
Electronic total energy, eV for the cell shown: -98.07
E_form (uncorrected), eV/atom: -1.929
N(E_F), states/eV/atom: 0.000

Unit cell a=5.7918 b=5.7918 c=5.7918 alpha=125.41 beta=105.22 gamma=99.10
With the nearest neighbours (Å) after each atom.
Fractional positions:
Li: 0.5000 0.0000 0.0000  2 O 1.78
Li: 0.5000 0.5000 0.5000  2 O 1.78
Er: 0.0000 0.0000 0.0000  6 O 2.28-2.30
Er: 0.5000 0.0000 0.5000  6 O 2.28-2.30
C: 0.1369 0.3869 0.7500  2 O 1.35
C: 0.8631 0.6131 0.2500  2 O 1.35
O: 0.1190 0.7045 0.4145  1 C 1.35
O: 0.2100 0.2955 0.9145  1 C 1.35
O: 0.2643 0.2853 0.5210  1 C 1.55
O: 0.2643 0.7433 0.9790  1 C 1.55
O: 0.7357 0.2567 0.0210  1 C 1.55
O: 0.7357 0.7147 0.4790  1 C 1.55
O: 0.7900 0.7045 0.0855  1 C 1.35
O: 0.8810 0.2955 0.5855  1 C 1.35


The following is a DFT calculation (PBE) of crystalline ErLu2C at its relaxed geometry.

Formation enthalpy at 0 K, meV/atom: -125
Theoretical density, g/cm³: 9.0
Electronic total energy, eV for the cell shown: -23.33
N(E_F), states/eV/atom: 1.033

Unit cell a=9.5964 b=9.5964 c=9.5964 alpha=20.77 beta=20.77 gamma=20.77
With the nearest neighbours (Å) after each atom.
Fractional positions:
Er: 0.0000 0.0000 0.0000  2 Lu 3.39, 6 Er 3.46
Lu: 0.1204 0.1204 0.1204  3 C 2.39
Lu: 0.8796 0.8796 0.8796  3 C 2.39
C: 0.5000 0.5000 0.5000  6 Lu 2.39


The following is a DFT calculation (PBE) of crystalline ErLuC2 at its relaxed geometry.

Formation enthalpy at 0 K, meV/atom: 861
Theoretical density, g/cm³: 7.7
Electronic total energy, eV for the cell shown: -24.09
N(E_F), states/eV/atom: 0.888

Unit cell a=6.8070 b=6.8070 c=6.8070 alpha=32.16 beta=32.16 gamma=32.16
With the nearest neighbours (Å) after each atom.
Fractional positions:
Er: 0.0000 0.0000 0.0000  6 C 2.43
Lu: 0.5000 0.5000 0.5000  2 C 2.15
C: 0.3890 0.3890 0.3890  1 Lu 2.15
C: 0.6110 0.6110 0.6110  1 Lu 2.15


The following is a DFT calculation (PBE) of crystalline Er2LuC at its relaxed geometry.

Formation enthalpy at 0 K, meV/atom: -85
Theoretical density, g/cm³: 8.7
Electronic total energy, eV for the cell shown: -23.21
N(E_F), states/eV/atom: 1.023

Unit cell a=9.6197 b=9.6197 c=9.6197 alpha=20.96 beta=20.96 gamma=20.96
With the nearest neighbours (Å) after each atom.
Fractional positions:
Er: 0.1196 0.1196 0.1196  3 C 2.42
Er: 0.8804 0.8804 0.8804  3 C 2.42
Lu: 0.0000 0.0000 0.0000  2 Er 3.38, 6 Lu 3.50
C: 0.5000 0.5000 0.5000  6 Er 2.42


The following is a DFT calculation (PBE) of crystalline Er3LuC at its relaxed geometry.

Formation enthalpy at 0 K, meV/atom: -44
Theoretical density, g/cm³: 9.2
Electronic total energy, eV for the cell shown: -27.65
N(E_F), states/eV/atom: 1.201

Unit cell a=4.9851 b=4.9851 c=4.9851 alpha=90.00 beta=90.00 gamma=90.00
With the nearest neighbours (Å) after each atom.
Fractional positions:
Er: 0.0000 0.0000 0.5000  2 C 2.49
Er: 0.0000 0.5000 0.0000  2 C 2.49
Er: 0.5000 0.0000 0.0000  2 C 2.49
Lu: 0.5000 0.5000 0.5000  12 Er 3.52
C: 0.0000 0.0000 0.0000  6 Er 2.49